No. 1
# Pu2SiGe3 (PBE-GGA, optimized geometry)
data_Pu2SiGe3
_cell_length_a 3.9328
_cell_length_b 4.2767
_cell_length_c 7.3384
_cell_angle_alpha 90.00
_cell_angle_beta 90.00
_cell_angle_gamma 90.00
_space_group_name_H-M_alt 'P 1'
_space_group_IT_number 1
_space_group_name_Hall 'P 1'
loop_
_atom_site_label
_atom_site_type_symbol
_atom_site_fract_x
_atom_site_fract_y
_atom_site_fract_z
_atom_site_occupancy
Pu1 Pu 0.0000 0.5000 0.0049 1
Pu2 Pu 0.0000 0.0000 0.4965 1
Si1 Si 0.5000 0.5000 0.3298 1
Ge1 Ge 0.5000 0.0000 0.8345 1
Ge2 Ge 0.5000 0.0000 0.1757 1
Ge3 Ge 0.5000 0.5000 0.6586 1
# - Volume: 123.4 Å³/f.u.
# - Space group: Pmm2, No. 25
# - Uncorrected formation energy: -0.339 eV/atom

No. 2
# ScSbTe2Ir (PBE-GGA, optimized geometry)
data_ScSbTe2Ir
_cell_length_a 5.4384
_cell_length_b 5.4384
_cell_length_c 4.9136
_cell_angle_alpha 90.00
_cell_angle_beta 90.00
_cell_angle_gamma 90.00
_space_group_name_H-M_alt 'P 1'
_space_group_IT_number 1
_space_group_name_Hall 'P 1'
loop_
_atom_site_label
_atom_site_type_symbol
_atom_site_fract_x
_atom_site_fract_y
_atom_site_fract_z
_atom_site_occupancy
Sc1 Sc 0.5000 0.5000 0.5000 1
Sb1 Sb 0.0000 0.0000 0.5000 1
Ir1 Ir 0.0000 0.0000 0.0000 1
Te1 Te 0.0000 0.5000 0.0000 1
Te2 Te 0.5000 0.0000 0.0000 1
# - Volume: 145.3 Å³/f.u.
# - Space group: P4/mmm, No. 123
# - Uncorrected formation energy: 0.237 eV/atom

No. 3
# TeSeBr2 (PBE-GGA, optimized geometry)
data_TeSeBr2
_cell_length_a 5.3872
_cell_length_b 5.3348
_cell_length_c 5.3875
_cell_angle_alpha 66.22
_cell_angle_beta 78.37
_cell_angle_gamma 113.77
_space_group_name_H-M_alt 'P 1'
_space_group_IT_number 1
_space_group_name_Hall 'P 1'
loop_
_atom_site_label
_atom_site_type_symbol
_atom_site_fract_x
_atom_site_fract_y
_atom_site_fract_z
_atom_site_occupancy
Br1 Br 0.0000 0.0000 0.0000 1
Br2 Br 0.5000 0.0000 0.5000 1
Se1 Se 0.0000 0.5000 0.5000 1
Te1 Te 0.5000 0.5000 0.0000 1
# - Volume: 116.8 Å³/f.u.
# - Space group: Fmmm, No. 69
# - Uncorrected formation energy: 0.244 eV/atom

No. 4
# Y2PdSe (PBE-GGA, optimized geometry)
data_Y2PdSe
_cell_length_a 4.0274
_cell_length_b 4.0274
_cell_length_c 7.5343
_cell_angle_alpha 74.50
_cell_angle_beta 74.50
_cell_angle_gamma 60.00
_space_group_name_H-M_alt 'P 1'
_space_group_IT_number 1
_space_group_name_Hall 'P 1'
loop_
_atom_site_label
_atom_site_type_symbol
_atom_site_fract_x
_atom_site_fract_y
_atom_site_fract_z
_atom_site_occupancy
Y1 Y 0.0760 0.0760 0.7719 1
Y2 Y 0.2578 0.2578 0.2266 1
Pd1 Pd 0.6668 0.6668 0.9996 1
Se1 Se 0.4994 0.4994 0.5019 1
# - Volume: 100.7 Å³/f.u.
# - Space group: R3m, No. 160
# - Uncorrected formation energy: -1.218 eV/atom

No. 5
# TbErTmAg (PBE-GGA, optimized geometry)
data_TbErTmAg
_cell_length_a 3.5304
_cell_length_b 3.5304
_cell_length_c 8.8121
_cell_angle_alpha 90.00
_cell_angle_beta 90.00
_cell_angle_gamma 90.00
_space_group_name_H-M_alt 'P 1'
_space_group_IT_number 1
_space_group_name_Hall 'P 1'
loop_
_atom_site_label
_atom_site_type_symbol
_atom_site_fract_x
_atom_site_fract_y
_atom_site_fract_z
_atom_site_occupancy
Tb1 Tb 0.0000 0.0000 0.0723 1
Er1 Er 0.5000 0.5000 0.7851 1
Tm1 Tm 0.5000 0.5000 0.3583 1
Ag1 Ag 0.0000 0.0000 0.5691 1
# - ΔE_f: -0.138 eV per atom
# - Volume: 109.8 Å³/f.u.
# - Space group: P4mm, No. 99

No. 6
# Tm6Sb3As2Se (PBE-GGA, optimized geometry)
data_Tm6Sb3As2Se
_cell_length_a 4.1847
_cell_length_b 8.4120
_cell_length_c 9.3856
_cell_angle_alpha 103.26
_cell_angle_beta 102.88
_cell_angle_gamma 90.00
_space_group_name_H-M_alt 'P 1'
_space_group_IT_number 1
_space_group_name_Hall 'P 1'
loop_
_atom_site_label
_atom_site_type_symbol
_atom_site_fract_x
_atom_site_fract_y
_atom_site_fract_z
_atom_site_occupancy
Tm1 Tm 0.3337 0.9043 0.6674 1
Tm2 Tm 0.6709 0.5730 0.3418 1
Tm3 Tm 0.6663 0.0957 0.3326 1
Tm4 Tm 0.0052 0.2478 0.0104 1
Tm5 Tm 0.9948 0.7522 0.9896 1
Tm6 Tm 0.3291 0.4270 0.6582 1
Sb1 Sb 0.5000 0.5000 0.0000 1
Sb2 Sb 0.8355 0.1667 0.6709 1
Sb3 Sb 0.1645 0.8333 0.3291 1
As1 As 0.8334 0.6679 0.6669 1
As2 As 0.1666 0.3322 0.3331 1
Se1 Se 0.5000 0.0000 0.0000 1
# - Volume: 313.0 Å³/f.u.
# - Space group: C2/m, No. 12
# - Uncorrected formation energy: -1.324 eV/atom

No. 7
# TbTmInPt (PBE-GGA, optimized geometry)
data_TbTmInPt
_cell_length_a 5.1070
_cell_length_b 5.1070
_cell_length_c 5.1070
_cell_angle_alpha 60.00
_cell_angle_beta 60.00
_cell_angle_gamma 60.00
_space_group_name_H-M_alt 'P 1'
_space_group_IT_number 1
_space_group_name_Hall 'P 1'
loop_
_atom_site_label
_atom_site_type_symbol
_atom_site_fract_x
_atom_site_fract_y
_atom_site_fract_z
_atom_site_occupancy
Tm1 Tm 0.2500 0.2500 0.2500 1
Tb1 Tb 0.7500 0.7500 0.7500 1
Pt1 Pt 0.5000 0.5000 0.5000 1
In1 In 0.0000 0.0000 0.0000 1
# - ΔE_f: -0.757 eV per atom
# - Volume: 94.2 Å³/f.u.
# - Space group: F-43m, No. 216

No. 8
# SrCa2 (PBE-GGA, optimized geometry)
data_SrCa2
_cell_length_a 3.8491
_cell_length_b 3.9194
_cell_length_c 9.5572
_cell_angle_alpha 78.17
_cell_angle_beta 90.02
_cell_angle_gamma 90.00
_space_group_name_H-M_alt 'P 1'
_space_group_IT_number 1
_space_group_name_Hall 'P 1'
loop_
_atom_site_label
_atom_site_type_symbol
_atom_site_fract_x
_atom_site_fract_y
_atom_site_fract_z
_atom_site_occupancy
Sr1 Sr 0.5000 0.5000 0.0000 1
Ca1 Ca 0.0003 0.8376 0.3251 1
Ca2 Ca 0.9997 0.1624 0.6749 1
# - ΔE_f: 0.106 eV per atom
# - Volume: 141.1 Å³/f.u.
# - Space group: Cmmm, No. 65

No. 9
# HgIr2Cl (PBE-GGA, optimized geometry)
data_HgIr2Cl
_cell_length_a 4.6663
_cell_length_b 4.6663
_cell_length_c 8.4499
_cell_angle_alpha 73.97
_cell_angle_beta 73.97
_cell_angle_gamma 90.00
_space_group_name_H-M_alt 'P 1'
_space_group_IT_number 1
_space_group_name_Hall 'P 1'
loop_
_atom_site_label
_atom_site_type_symbol
_atom_site_fract_x
_atom_site_fract_y
_atom_site_fract_z
_atom_site_occupancy
Ir1 Ir 0.4893 0.1250 0.2500 1
Ir2 Ir 0.2607 0.6250 0.2500 1
Ir3 Ir 0.3750 0.5107 0.7500 1
Ir4 Ir 0.8750 0.7393 0.7500 1
Hg1 Hg 0.0000 0.0000 0.0000 1
Hg2 Hg 0.7500 0.2500 0.5000 1
Cl1 Cl 0.5000 0.5000 0.0000 1
Cl2 Cl 0.2500 0.7500 0.5000 1
# - Volume: 84.7 Å³/f.u.
# - Space group: I-42d, No. 122
# - Uncorrected formation energy: 0.876 eV/atom

No. 10
# Ca4Ac15La (PBE-GGA, optimized geometry)
data_Ca4Ac15La
_cell_length_a 5.5909
_cell_length_b 5.5909
_cell_length_c 28.0430
_cell_angle_alpha 90.00
_cell_angle_beta 90.00
_cell_angle_gamma 90.00
_space_group_name_H-M_alt 'P 1'
_space_group_IT_number 1
_space_group_name_Hall 'P 1'
loop_
_atom_site_label
_atom_site_type_symbol
_atom_site_fract_x
_atom_site_fract_y
_atom_site_fract_z
_atom_site_occupancy
Ca1 Ca 0.0000 0.0000 0.1989 1
Ca2 Ca 0.0000 0.0000 0.3997 1
Ca3 Ca 0.0000 0.0000 0.6003 1
Ca4 Ca 0.0000 0.0000 0.8010 1
Ac1 Ac 0.5000 0.5000 0.0000 1
Ac2 Ac 0.5000 0.5000 0.1994 1
Ac3 Ac 0.5000 0.5000 0.3997 1
Ac4 Ac 0.5000 0.5000 0.6003 1
Ac5 Ac 0.5000 0.5000 0.8006 1
Ac6 Ac 0.5000 0.0000 0.0975 1
Ac7 Ac 0.5000 0.0000 0.2992 1
Ac8 Ac 0.5000 0.0000 0.5000 1
Ac9 Ac 0.5000 0.0000 0.7008 1
Ac10 Ac 0.5000 0.0000 0.9025 1
Ac11 Ac 0.0000 0.5000 0.0975 1
Ac12 Ac 0.0000 0.5000 0.2992 1
Ac13 Ac 0.0000 0.5000 0.5000 1
Ac14 Ac 0.0000 0.5000 0.7008 1
Ac15 Ac 0.0000 0.5000 0.9025 1
La1 La 0.0000 0.0000 0.0000 1
# - ΔE_f: 0.022 eV per atom
# - Volume: 876.6 Å³/f.u.
# - Space group: P4/mmm, No. 123

No. 11
# Sm2PuPb3 (PBE-GGA, optimized geometry)
data_Sm2PuPb3
_cell_length_a 4.5453
_cell_length_b 6.3852
_cell_length_c 7.8271
_cell_angle_alpha 114.07
_cell_angle_beta 106.88
_cell_angle_gamma 90.00
_space_group_name_H-M_alt 'P 1'
_space_group_IT_number 1
_space_group_name_Hall 'P 1'
loop_
_atom_site_label
_atom_site_type_symbol
_atom_site_fract_x
_atom_site_fract_y
_atom_site_fract_z
_atom_site_occupancy
Sm1 Sm 0.6690 0.1690 0.3379 1
Sm2 Sm 0.3310 0.8310 0.6621 1
Pu1 Pu 0.0000 0.5000 0.0000 1
Pb1 Pb 0.3371 0.3371 0.6742 1
Pb2 Pb 0.0000 0.0000 0.0000 1
Pb3 Pb 0.6629 0.6629 0.3258 1
# - ΔE_f: -0.199 eV per atom
# - Volume: 196.6 Å³/f.u.
# - Space group: Immm, No. 71

No. 12
# LaHf2Fe2 (PBE-GGA, optimized geometry)
data_LaHf2Fe2
_cell_length_a 4.3443
_cell_length_b 4.3443
_cell_length_c 6.1617
_cell_angle_alpha 69.36
_cell_angle_beta 69.36
_cell_angle_gamma 90.00
_space_group_name_H-M_alt 'P 1'
_space_group_IT_number 1
_space_group_name_Hall 'P 1'
loop_
_atom_site_label
_atom_site_type_symbol
_atom_site_fract_x
_atom_site_fract_y
_atom_site_fract_z
_atom_site_occupancy
Hf1 Hf 0.7500 0.2500 0.5000 1
Hf2 Hf 0.2500 0.7500 0.5000 1
Fe1 Fe 0.3945 0.3945 0.2110 1
Fe2 Fe 0.6055 0.6055 0.7890 1
La1 La 0.0000 0.0000 0.0000 1
# - ΔE_f: -0.030 eV per atom
# - Volume: 100.8 Å³/f.u.
# - Space group: I4/mmm, No. 139

No. 13
# Sm5Y2Mg5 (PBE-GGA, optimized geometry)
data_Sm5Y2Mg5
_cell_length_a 3.6865
_cell_length_b 8.7557
_cell_length_c 11.8864
_cell_angle_alpha 70.91
_cell_angle_beta 81.08
_cell_angle_gamma 77.85
_space_group_name_H-M_alt 'P 1'
_space_group_IT_number 1
_space_group_name_Hall 'P 1'
loop_
_atom_site_label
_atom_site_type_symbol
_atom_site_fract_x
_atom_site_fract_y
_atom_site_fract_z
_atom_site_occupancy
Sm1 Sm 0.5000 0.5000 0.5000 1
Sm2 Sm 0.3317 0.3103 0.0264 1
Sm3 Sm 0.4396 0.8764 0.2445 1
Sm4 Sm 0.5604 0.1236 0.7555 1
Sm5 Sm 0.6683 0.6897 0.9736 1
Y1 Y 0.8817 0.4774 0.7592 1
Y2 Y 0.1183 0.5226 0.2408 1
Mg1 Mg 0.8284 0.8432 0.5001 1
Mg2 Mg 0.2340 0.8140 0.7180 1
Mg3 Mg 0.7660 0.1860 0.2820 1
Mg4 Mg 0.1716 0.1568 0.4999 1
Mg5 Mg 0.0000 0.0000 0.0000 1
# - ΔE_f: -0.040 eV per atom
# - Volume: 352.9 Å³/f.u.
# - Space group: C2/m, No. 12